[1]
CdAsPt | meta-GGA SCAN | PBEsol geometry

a = 4.2396 Å, b = 4.2396 Å, c = 3.5916 Å
α = 90.00°, β = 90.00°, γ = 120.00°
Space group P-6m2 (No. 187)
Asymmetric unit:
Cd (0.0000, 0.0000, 0.0000) x1
As (0.6667, 0.3333, 0.5000) x1
Pt (0.3333, 0.6667, 0.5000) x1

Output
Magnetization ... 0.00 μB per formula unit
Density of states at the Fermi level ... 0.317 states/eV/atom
ΔE_f ... -17.7 kJ/mol of atoms



[2]
Cd2AsPtS | meta-GGA SCAN | PBEsol geometry

a = 4.775 Å, b = 4.775 Å, c = 4.747 Å
α = 90.00°, β = 90.00°, γ = 90.00°
Space group P4/mmm (No. 123)
Asymmetric unit:
Cd (0.000, 0.500, 0.000) x2
As (0.000, 0.000, 0.500) x1
Pt (0.500, 0.500, 0.500) x1
S (0.000, 0.000, 0.000) x1

Output
Magnetization ... 0.00 μB per formula unit
Density of states at the Fermi level ... 0.340 states/eV/atom
Formation energy (no corrections) ... 69.7 kJ/mol of atoms



[3]
CdAsPtSe2 | meta-GGA SCAN | PBEsol geometry

a = 4.928 Å, b = 4.928 Å, c = 4.870 Å
α = 90.00°, β = 90.00°, γ = 90.00°
Space group P4/mmm (No. 123)
Asymmetric unit:
Cd (0.000, 0.000, 0.000) x1
As (0.000, 0.000, 0.500) x1
Pt (0.500, 0.500, 0.000) x1
Se (0.000, 0.500, 0.500) x2

Output
Magnetization ... 0.00 μB per formula unit
Density of states at the Fermi level ... 1.012 states/eV/atom
Formation energy (no corrections) ... 91.8 kJ/mol of atoms



[4]
Rb2Cd2As | meta-GGA SCAN | PBEsol geometry

a = 3.932 Å, b = 3.932 Å, c = 22.753 Å
α = 90.00°, β = 90.00°, γ = 90.00°
Space group I4/mmm (No. 139)
Asymmetric unit:
Rb (0.000, 0.000, 0.092) x4
Cd (0.000, 0.500, 0.250) x4
As (0.000, 0.000, 0.500) x2

Output
Magnetization ... 0.00 μB per formula unit
Density of states at the Fermi level ... 0.460 states/eV/atom
ΔE_f ... -2.9 kJ/mol of atoms



[5]
RbCdSi2As | meta-GGA SCAN | PBEsol geometry

a = 5.108 Å, b = 5.108 Å, c = 5.354 Å
α = 90.00°, β = 90.00°, γ = 90.00°
Space group P4/mmm (No. 123)
Asymmetric unit:
Rb (0.000, 0.000, 0.000) x1
Cd (0.500, 0.500, 0.500) x1
Si (0.000, 0.500, 0.500) x2
As (0.500, 0.500, 0.000) x1

Output
Magnetization ... 0.00 μB per formula unit
Density of states at the Fermi level ... 0.626 states/eV/atom
Formation energy (no corrections) ... 80.9 kJ/mol of atoms



[6]
CdReAs2 | meta-GGA SCAN | PBEsol geometry

a = 3.909 Å, b = 3.909 Å, c = 8.857 Å
α = 90.00°, β = 90.00°, γ = 90.00°
Space group I-4m2 (No. 119)
Asymmetric unit:
Cd (0.000, 0.000, 0.000) x2
Re (0.000, 0.500, 0.250) x2
As (0.000, 0.000, 0.500) x2
As (0.000, 0.500, 0.750) x2

Output
Magnetization ... 0.00 μB per formula unit
Density of states at the Fermi level ... 0.620 states/eV/atom
ΔE_f ... 76.3 kJ/mol of atoms



[7]
CdReAs | meta-GGA SCAN | PBEsol geometry

a = 3.195 Å, b = 3.195 Å, c = 9.888 Å
α = 90.00°, β = 90.00°, γ = 90.00°
Space group I4mm (No. 107)
Asymmetric unit:
Cd (0.000, 0.000, 0.000) x2
Re (0.000, 0.000, 0.691) x2
As (0.000, 0.000, 0.303) x2

Output
Magnetization ... 0.00 μB per formula unit
Density of states at the Fermi level ... 0.228 states/eV/atom
ΔE_f ... 28.3 kJ/mol of atoms



[8]
CdReAs2 | meta-GGA SCAN | PBEsol geometry

a = 4.541 Å, b = 4.541 Å, c = 3.244 Å
α = 90.00°, β = 90.00°, γ = 90.00°
Space group P4/mmm (No. 123)
Asymmetric unit:
Cd (0.000, 0.000, 0.000) x1
Re (0.500, 0.500, 0.000) x1
As (0.000, 0.500, 0.500) x2

Output
Magnetization ... 0.00 μB per formula unit
Density of states at the Fermi level ... 0.804 states/eV/atom
ΔE_f ... 69.6 kJ/mol of atoms



Among the records above, which one has the highest density of states at the Fermi level? CdAsPtSe2